Cr3B7O13F: relaxed, PBE with a Hubbard U.

## Properties
SG: F-43c, No. 219
E: -7.9335 eV per atom

```
data_Cr3B7O13F
_symmetry_space_group_name_H-M 'P 1'
_symmetry_Int_Tables_number 1
_symmetry_space_group_name_Hall 'P 1'
_cell_length_a 8.649
_cell_length_b 8.649
_cell_length_c 8.649
_cell_angle_alpha 60.00
_cell_angle_beta 60.00
_cell_angle_gamma 60.00
loop_
_atom_site_label
_atom_site_fract_x
_atom_site_fract_y
_atom_site_fract_z
Cr1 0.250 0.250 0.750
Cr2 0.250 0.750 0.250
Cr3 0.250 0.750 0.750
Cr4 0.750 0.250 0.250
Cr5 0.750 0.250 0.750
Cr6 0.750 0.750 0.250
B1 0.000 0.000 0.500
B2 0.000 0.500 0.000
B3 0.000 0.500 0.500
B4 0.170 0.170 0.170
B5 0.170 0.170 0.490
B6 0.170 0.490 0.170
B7 0.490 0.170 0.170
B8 0.500 0.000 0.000
B9 0.500 0.000 0.500
B10 0.500 0.500 0.000
B11 0.670 0.670 0.670
B12 0.670 0.670 0.990
B13 0.670 0.990 0.670
B14 0.990 0.670 0.670
O1 0.046 0.494 0.814
O2 0.046 0.646 0.494
O3 0.046 0.814 0.646
O4 0.146 0.314 0.546
O5 0.146 0.546 0.994
O6 0.146 0.994 0.314
O7 0.250 0.250 0.250
O8 0.314 0.146 0.994
O9 0.314 0.546 0.146
O10 0.314 0.994 0.546
O11 0.494 0.046 0.646
O12 0.494 0.646 0.814
O13 0.494 0.814 0.046
O14 0.546 0.146 0.314
O15 0.546 0.314 0.994
O16 0.546 0.994 0.146
O17 0.646 0.046 0.814
O18 0.646 0.494 0.046
O19 0.646 0.814 0.494
O20 0.750 0.750 0.750
O21 0.814 0.046 0.494
O22 0.814 0.494 0.646
O23 0.814 0.646 0.046
O24 0.994 0.146 0.546
O25 0.994 0.314 0.146
O26 0.994 0.546 0.314
F1 0.000 0.000 0.000
F2 0.500 0.500 0.500
```